Here is a relaxed structure of Sr2CaSn2 from the Alexandria database. Energies are from PBE-GGA.

```
data_Sr2CaSn2
_chemical_formula_sum 'Sr4 Ca2 Sn4'
_cell_length_a 5.106
_cell_length_b 5.106
_cell_length_c 14.351
_cell_angle_alpha 90.00
_cell_angle_beta 90.00
_cell_angle_gamma 90.00
_space_group_name_H-M_alt 'I 4/m m m'
_space_group_IT_number 139
_space_group_name_Hall '-I 4 2'
loop_
_atom_site_label
_atom_site_fract_x
_atom_site_fract_y
_atom_site_fract_z
Sr1 0.000 0.500 0.250
Ca1 0.000 0.000 0.000
Sn1 0.000 0.000 0.402
```

Output
- E (eV per atom) = -3.011
- relative energy among the computed polymorphs (meV per atom) = 275
- magnetic moment (μB/f.u.) = 0.00
- Fermi-level density of states (states/eV per atom) = 0.91
- calculated formation energy (eV per atom) = -0.3372

---

Here is a relaxed structure of K2SrAu from the Alexandria database. Energies are from PBE-GGA.

```
data_K2SrAu
_chemical_formula_sum 'K2 Sr1 Au1'
_cell_length_a 4.982
_cell_length_b 4.982
_cell_length_c 6.431
_cell_angle_alpha 90.00
_cell_angle_beta 90.00
_cell_angle_gamma 90.00
_space_group_name_H-M_alt 'P 4/m m m'
_space_group_IT_number 123
_space_group_name_Hall '-P 4 2'
loop_
_atom_site_label
_atom_site_fract_x
_atom_site_fract_y
_atom_site_fract_z
K1 0.000 0.500 0.000
Sr1 0.000 0.000 0.500
Au1 0.500 0.500 0.500
```

Output
- E (eV per atom) = -1.868
- relative energy among the computed polymorphs (meV per atom) = 196
- magnetic moment (μB/f.u.) = 0.00
- Fermi-level density of states (states/eV per atom) = 0.54
- calculated formation energy (eV per atom) = -0.0796

---

Here is a relaxed structure of AcAg9Pb2 from the Alexandria database. Energies are from PBE-GGA.

```
data_AcAg9Pb2
_chemical_formula_sum 'Ac3 Ag27 Pb6'
_cell_length_a 5.7708
_cell_length_b 5.7708
_cell_length_c 27.6614
_cell_angle_alpha 90.00
_cell_angle_beta 90.00
_cell_angle_gamma 120.00
_space_group_name_H-M_alt 'R -3 m'
_space_group_IT_number 166
_space_group_name_Hall '-R 3 2"'
loop_
_atom_site_label
_atom_site_fract_x
_atom_site_fract_y
_atom_site_fract_z
Ac1 0.0000 0.0000 0.0000
Ag1 0.0000 0.0000 0.3338
Ag2 0.0000 0.0000 0.5000
Ag3 0.0032 0.5016 0.9159
Pb1 0.0000 0.0000 0.1453
```

Output
- E (eV per atom) = -3.178
- magnetic moment (μB/f.u.) = 0.00
- Fermi-level density of states (states/eV per atom) = 0.53
- calculated formation energy (eV per atom) = -0.0793